Pr3Sm6Ho2In: relaxed, PBE-GGA.

## Properties
**ρ**: 7.46 g/cm³
**Size of the total moment**: 0.00 μB per cell
**Calculated formation energy**: -32 meV per atom
**Uncorrected energy**: -4.58 eV per atom

Cell and atoms, written as CIF:
```
data_Pr3Sm6Ho2In
_cell_length_a 6.239
_cell_length_b 10.842
_cell_length_c 11.832
_cell_angle_alpha 90.00
_cell_angle_beta 100.33
_cell_angle_gamma 90.00
_symmetry_space_group_name_H-M 'C 1 2/m 1'
_symmetry_Int_Tables_number 12
loop_
_symmetry_equiv_pos_as_xyz
'x,y,z'
'-x,-y,-z'
'-x,y,-z'
'x,-y,z'
'x+1/2,y+1/2,z'
'-x+1/2,-y+1/2,-z'
'-x+1/2,y+1/2,-z'
'x+1/2,-y+1/2,z'
loop_
_atom_site_label
_atom_site_type_symbol
_atom_site_fract_x
_atom_site_fract_y
_atom_site_fract_z
Pr1 Pr 0.000 0.000 0.000
Pr2 Pr 0.000 0.331 0.000
Sm1 Sm 0.242 0.337 0.741
Sm2 Sm 0.247 0.500 0.257
Ho1 Ho 0.000 0.166 0.500
In1 In 0.000 0.500 0.500
```